No. 1
Density functional theory data (PBE) for a relaxed structure of BaTa2Zn.

Computed properties:
Total energy ... -6.08 eV/atom
Crystal system ... monoclinic
Total magnetic moment ... 0.00 μB/f.u.
DOS(E_F) ... 0.77 states/eV per atom

a b c (Å): 9.5328 3.1175 6.9532
angles (deg): 90.00 98.13 90.00
Last column: nearest neighbours and their distance in Å.
Space group Cm (No. 8)
Asymmetric unit:
Ba 0.0000 0.0000 0.0000 x2  2 Ba 3.12, 3 Zn 3.39-3.40
Ta 0.2024 0.0000 0.6179 x2  3 Ta 2.66-2.76, 2 Zn 2.75
Ta 0.4633 0.0000 0.5243 x2  3 Ta 2.66-2.76, 2 Zn 2.79
Zn 0.2546 0.5000 0.3104 x2  4 Ta 2.75-2.79

---

No. 2
Density functional theory data (PBE) for a relaxed structure of BaTa2Zn.

Computed properties:
Total energy ... -6.01 eV/atom
Crystal system ... orthorhombic
Total magnetic moment ... 0.00 μB/f.u.
DOS(E_F) ... 0.90 states/eV per atom

a b c (Å): 2.9893 5.1937 11.6440
angles (deg): 90.00 90.00 90.00
Last column: nearest neighbours and their distance in Å.
Space group Immm (No. 71)
Asymmetric unit:
Ba 0.0000 0.0000 0.0000 x2  2 Ba 2.99, 4 Zn 3.00
Ta 0.0000 0.5000 0.2156 x4  2 Zn 2.92, 6 Ta 2.99-3.10
Zn 0.0000 0.0000 0.5000 x2  4 Ta 2.92, 2 Zn 2.99, 4 Ba 3.00

---

No. 3
Density functional theory data (PBE) for a relaxed structure of BaTaZn2.

Computed properties:
Total energy ... -3.45 eV/atom
Crystal system ... trigonal
Total magnetic moment ... 0.00 μB/f.u.
Polymorph energy (0 for the lowest one) ... 380 meV per atom
DOS(E_F) ... 0.86 states/eV per atom

a b c (Å): 3.2338 3.2338 29.7157
angles (deg): 90.00 90.00 120.00
Last column: nearest neighbours and their distance in Å.
Space group R3m (No. 160, hexagonal axes)
Asymmetric unit:
Ba 0.0000 0.0000 0.0000 x3  6 Ba 3.23, 3 Zn 3.45, 3 Ta 3.59
Ta 0.0000 0.0000 0.2303 x3  3 Zn 2.79
Zn 0.0000 0.0000 0.4936 x3  3 Zn 2.64, 3 Ta 2.79
Zn 0.0000 0.0000 0.7643 x3  3 Zn 2.64

---

No. 4
Density functional theory data (PBE) for a relaxed structure of BaTaZn2.

Computed properties:
Total energy ... -3.40 eV/atom
Crystal system ... orthorhombic
Total magnetic moment ... 0.00 μB/f.u.
Polymorph energy (0 for the lowest one) ... 433 meV per atom
DOS(E_F) ... 0.88 states/eV per atom

a b c (Å): 3.3754 5.5786 10.3288
angles (deg): 90.00 90.00 90.00
Last column: nearest neighbours and their distance in Å.
Space group Immm (No. 71)
Asymmetric unit:
Ba 0.0000 0.0000 0.0000 x2  4 Ta 3.26, 2 Ba 3.38, 8 Zn 3.45-3.53
Ta 0.0000 0.0000 0.5000 x2  4 Zn 2.74
Zn 0.0000 0.5000 0.2088 x4  2 Ta 2.74

---

- What is the formula in the first record?
  BaTa2Zn